Entry 1:
9
Lattice="4.007 0.000 0.000 0.000 4.007 0.000 0.000 0.000 11.216" Properties=species:S:1:pos:R:3 comment="Li6PmAu2 (PBE, optimized geometry)" e_form_mev_per_atom=-340 total_magnetization_mub_per_fu=0.0 final_energy_ev_per_atom=-2.872 pbc="T T T"
Li 0.000 0.000 5.608
Li 2.003 2.003 5.608
Li 0.000 2.003 3.202
Pm 0.000 0.000 0.000
Au 2.003 2.003 1.442
Li 2.003 0.000 8.014
Li 0.000 2.003 8.014
Li 2.003 0.000 3.202
Au 2.003 2.003 9.774

***

Entry 2:
4
Lattice="3.389 0.000 0.000 0.000 3.389 0.000 0.000 0.000 7.153" Properties=species:S:1:pos:R:3 comment="Li2PmAu (PBE, optimized geometry)" e_form_mev_per_atom=-234 de_polymorph_kj_per_mol_atoms=15.97 total_magnetization_mub_per_fu=0.0 final_energy_ev_per_atom=-3.198 pbc="T T T"
Au 1.694 1.694 0.000
Pm 1.694 1.694 3.577
Li 0.000 0.000 5.884
Li 0.000 0.000 1.269

***

Entry 3:
4
Lattice="4.056 0.000 0.000 2.028 3.513 0.000 2.028 1.171 8.624" Properties=species:S:1:pos:R:3 comment="LiPm2Au (PBE, optimized geometry)" e_form_mev_per_atom=-160 de_polymorph_kj_per_mol_atoms=20.06 total_magnetization_mub_per_fu=0.0 final_energy_ev_per_atom=-3.833 pbc="T T T"
Pm 2.028 1.171 6.790
Pm 2.028 1.171 1.838
Li 4.056 2.342 4.284
Au 4.056 2.342 0.024

***

Entry 4:
13
Lattice="5.322 0.000 0.000 2.661 6.537 0.000 2.661 0.000 6.537" Properties=species:S:1:pos:R:3 comment="Li4PmAu8 (PBE, optimized geometry)" e_form_mev_per_atom=-520 total_magnetization_mub_per_fu=0.0 final_energy_ev_per_atom=-3.491 pbc="T T T"
Li 3.992 3.269 0.000
Au 5.322 5.090 1.448
Au 2.661 1.448 1.448
Au 5.322 1.448 5.090
Au 5.322 2.203 2.203
Au 2.661 4.334 2.203
Au 7.983 5.090 5.090
Li 3.992 0.000 3.269
Li 1.331 3.269 0.000
Pm 0.000 0.000 0.000
Au 5.322 4.334 4.334
Li 1.331 0.000 3.269
Au 2.661 2.203 4.334